(1)
LiTbAl2 | the Alexandria database | PBE | optimized geometry; total magnetization = 0.000 μB/f.u.; DFT formation energy = -238 meV/atom; density of states at the Fermi level = 1.07 states/eV per cell; density = 4.5 g/cm3
1.0
-4.605 0.587 1.471
-2.578 -3.840 1.526
-1.127 -0.458 4.716
Tb Al Li
1 2 1
Direct
0.500 0.500 0.500
0.250 0.250 0.250
0.750 0.750 0.750
0.000 0.000 0.000

(2)
Li3TbAl3 | the Alexandria database | PBE | optimized geometry; total magnetization = 0.000 μB/f.u.; DFT formation energy = 447 meV/atom; density of states at the Fermi level = 6.27 states/eV per cell; density = 2.9 g/cm3
1.0
6.707 0.000 0.000
0.000 6.707 0.000
0.000 0.000 6.707
Tb Al Li
2 6 6
Direct
0.500 0.500 0.500
0.000 0.000 0.000
0.000 0.250 0.500
0.000 0.750 0.500
0.500 0.000 0.750
0.750 0.500 0.000
0.500 0.000 0.250
0.250 0.500 0.000
0.250 0.000 0.500
0.000 0.500 0.250
0.500 0.750 0.000
0.750 0.000 0.500
0.000 0.500 0.750
0.500 0.250 0.000

(3)
LiTbAl4 | the Alexandria database | PBE | optimized geometry; total magnetization = 0.000 μB/f.u.; DFT formation energy = -274 meV/atom; density of states at the Fermi level = 3.31 states/eV per cell; density = 3.9 g/cm3
1.0
-5.388 -0.823 -0.708
-2.099 -5.053 0.516
-3.183 -1.227 4.310
Tb Al Li
1 4 1
Direct
0.000 0.000 0.000
0.625 0.625 0.124
0.625 0.124 0.625
0.625 0.625 0.625
0.124 0.625 0.625
0.250 0.250 0.250

(4)
Li2Tb3Al9 | the Alexandria database | PBE | optimized geometry; total magnetization = 0.000 μB/f.u.; DFT formation energy = -367 meV/atom; density of states at the Fermi level = 6.62 states/eV per cell; density = 4.5 g/cm3
1.0
-0.316 -2.698 3.409
-2.639 -7.210 -3.165
6.620 -4.983 -0.545
Li Tb Al
2 3 9
Direct
0.500 0.307 0.693
0.500 0.693 0.307
0.000 0.000 0.000
0.695 0.305 0.305
0.305 0.695 0.695
0.000 0.500 0.500
0.655 0.978 0.712
0.345 0.022 0.288
0.655 0.712 0.978
0.345 0.288 0.022
0.864 0.857 0.416
0.136 0.143 0.584
0.864 0.416 0.857
0.136 0.584 0.143